(1)
{"formula": "MnAsRu", "functional": "PBE", "state": "relaxed", "cell": [[-1.534, 1.534, 4.784], [1.534, -1.534, 4.784], [1.534, 1.534, -4.784]], "species": ["Mn", "As", "Ru"], "fractional_positions": [[0.000, 0.000, 0.000], [0.680, 0.680, 0.000], [0.316, 0.316, 0.000]], "dos_at_fermi_per_ev_cell": 1.858, "e_form_mev_per_atom": 41, "space_group": "I4mm, No. 107"}

=====

(2)
{"formula": "Mn2AsRu", "functional": "PBE", "state": "relaxed", "cell": [[2.824, 0.000, 0.000], [0.000, 2.824, 0.000], [0.000, 0.000, 6.226]], "species": ["Mn", "Mn", "As", "Ru"], "fractional_positions": [[0.000, 0.000, 0.230], [0.000, 0.000, 0.770], [0.500, 0.500, 0.000], [0.500, 0.500, 0.500]], "dos_at_fermi_per_ev_cell": 4.303, "e_form_mev_per_atom": 102, "space_group": "P4/mmm, No. 123"}

=====

(3)
{"formula": "MnAsRu2", "functional": "PBE", "state": "relaxed", "cell": [[1.442, 0.832, 7.993], [-1.442, 0.832, 7.993], [0.000, -1.665, 7.993]], "species": ["Mn", "As", "Ru", "Ru"], "fractional_positions": [[0.000, 0.000, 0.000], [0.500, 0.500, 0.500], [0.249, 0.249, 0.249], [0.751, 0.751, 0.751]], "dos_at_fermi_per_ev_cell": 5.065, "e_form_mev_per_atom": 153, "space_group": "R-3m, No. 166"}

=====

(4)
{"formula": "MnAsRu", "functional": "PBE", "state": "relaxed", "cell": [[4.167, 0.000, 0.000], [-2.083, 3.608, 0.000], [0.000, 0.000, 2.961]], "species": ["Mn", "As", "Ru"], "fractional_positions": [[0.000, 0.000, 0.000], [0.667, 0.333, 0.500], [0.333, 0.667, 0.500]], "dos_at_fermi_per_ev_cell": 2.485, "e_form_mev_per_atom": -47, "space_group": "P-6m2, No. 187"}

=====

(5)
{"formula": "Mn2AsRu", "functional": "PBE", "state": "relaxed", "cell": [[3.024, 0.000, 0.000], [0.000, 4.114, 0.000], [0.000, 0.000, 4.174]], "species": ["Mn", "Mn", "As", "Ru"], "fractional_positions": [[0.000, 0.000, 0.000], [0.500, 0.000, 0.500], [0.000, 0.500, 0.500], [0.500, 0.500, 0.000]], "dos_at_fermi_per_ev_cell": 1.987, "e_form_mev_per_atom": -28, "space_group": "Pmmm, No. 47"}

=====

(6)
{"formula": "MnAsRu2", "functional": "PBE", "state": "relaxed", "cell": [[1.447, -2.385, 0.000], [1.447, 2.385, 0.000], [0.000, 0.000, 8.400]], "species": ["Mn", "As", "Ru", "Ru"], "fractional_positions": [[0.000, 0.000, 0.000], [0.500, 0.500, 0.758], [0.000, 0.000, 0.517], [0.500, 0.500, 0.247]], "dos_at_fermi_per_ev_cell": 5.250, "e_form_mev_per_atom": 400, "space_group": "Cmm2, No. 35"}

=====

(7)
{"formula": "MnAsRu", "functional": "PBE", "state": "relaxed", "cell": [[5.970, 0.000, 0.000], [-2.985, 5.170, 0.000], [0.000, 0.000, 3.884]], "species": ["Mn", "Mn", "Mn", "As", "As", "As", "Ru", "Ru", "Ru"], "fractional_positions": [[0.000, 0.753, 0.000], [0.247, 0.247, 0.000], [0.753, 0.000, 0.000], [0.000, 0.000, 0.500], [0.333, 0.667, 0.000], [0.667, 0.333, 0.000], [0.000, 0.409, 0.500], [0.409, 0.000, 0.500], [0.591, 0.591, 0.500]], "dos_at_fermi_per_ev_cell": 6.216, "e_form_mev_per_atom": -39, "space_group": "P-62m, No. 189"}

=====

(8)
{"formula": "Mn2AsRu", "functional": "PBE", "state": "relaxed", "cell": [[1.357, 0.784, 7.976], [-1.357, 0.784, 7.976], [0.000, -1.567, 7.976]], "species": ["Mn", "Mn", "As", "Ru"], "fractional_positions": [[0.248, 0.248, 0.248], [0.752, 0.752, 0.752], [0.500, 0.500, 0.500], [0.000, 0.000, 0.000]], "dos_at_fermi_per_ev_cell": 3.860, "e_form_mev_per_atom": 216, "space_group": "R-3m, No. 166"}

=====

(9)
{"formula": "MnAsRu2", "functional": "PBE", "state": "relaxed", "cell": [[0.000, 3.055, 3.055], [3.055, 0.000, 3.055], [3.055, 3.055, 0.000]], "species": ["Mn", "As", "Ru", "Ru"], "fractional_positions": [[0.000, 0.000, 0.000], [0.750, 0.750, 0.750], [0.250, 0.250, 0.250], [0.500, 0.500, 0.500]], "dos_at_fermi_per_ev_cell": 3.977, "e_form_mev_per_atom": 272, "space_group": "F-43m, No. 216"}

=====

(10)
{"formula": "MnAsRu2", "functional": "PBE", "state": "relaxed", "cell": [[2.857, 0.000, 0.000], [0.000, 2.857, 0.000], [0.000, 0.000, 6.506]], "species": ["Mn", "As", "Ru", "Ru"], "fractional_positions": [[0.000, 0.000, 0.000], [0.500, 0.500, 0.788], [0.000, 0.000, 0.545], [0.500, 0.500, 0.259]], "dos_at_fermi_per_ev_cell": 2.703, "e_form_mev_per_atom": 100, "space_group": "P4mm, No. 99"}

=====

(11)
{"formula": "Mn2AsRu", "functional": "PBE", "state": "relaxed", "cell": [[1.420, 0.820, 7.961], [-1.420, 0.820, 7.961], [0.000, -1.640, 7.961]], "species": ["Mn", "Mn", "As", "Ru"], "fractional_positions": [[0.000, 0.000, 0.000], [0.254, 0.254, 0.254], [0.503, 0.503, 0.503], [0.754, 0.754, 0.754]], "dos_at_fermi_per_ev_cell": 3.579, "e_form_mev_per_atom": 175, "space_group": "R3m, No. 160"}

=====

(12)
{"formula": "Mn4AsRu", "functional": "PBE", "state": "relaxed", "cell": [[0.000, 3.330, 3.330], [3.330, 0.000, 3.330], [3.330, 3.330, 0.000]], "species": ["Mn", "Mn", "Mn", "Mn", "As", "Ru"], "fractional_positions": [[0.376, 0.376, 0.376], [0.376, 0.376, 0.873], [0.376, 0.873, 0.376], [0.873, 0.376, 0.376], [0.750, 0.750, 0.750], [0.000, 0.000, 0.000]], "dos_at_fermi_per_ev_cell": 9.701, "e_form_mev_per_atom": 342, "space_group": "F-43m, No. 216"}

=====

(13)
{"formula": "MnAs3Ru", "functional": "PBE", "state": "relaxed", "cell": [[4.496, 0.000, 0.000], [0.000, 4.496, 0.000], [0.000, 0.000, 4.496]], "species": ["Mn", "As", "As", "As", "Ru"], "fractional_positions": [[0.000, 0.000, 0.000], [0.000, 0.000, 0.500], [0.000, 0.500, 0.000], [0.500, 0.000, 0.000], [0.500, 0.500, 0.500]], "dos_at_fermi_per_ev_cell": 3.704, "e_form_mev_per_atom": 791, "space_group": "Pm-3m, No. 221", "de_polymorph_ev_per_atom": 0.000}

=====

(14)
{"formula": "MnAsRu2", "functional": "PBE", "state": "relaxed", "cell": [[4.218, 0.000, 0.000], [0.000, 4.218, 0.000], [0.000, 0.000, 3.113]], "species": ["Mn", "As", "Ru", "Ru"], "fractional_positions": [[0.000, 0.000, 0.000], [0.500, 0.500, 0.000], [0.000, 0.500, 0.500], [0.500, 0.000, 0.500]], "dos_at_fermi_per_ev_cell": 2.004, "e_form_mev_per_atom": -88, "space_group": "P4/mmm, No. 123"}

=====

(15)
{"formula": "ScMnAs2Ru", "functional": "PBE", "state": "relaxed", "cell": [[4.752, 0.000, 0.000], [0.000, 4.752, 0.000], [0.000, 0.000, 4.730]], "species": ["Sc", "Mn", "As", "As", "Ru"], "fractional_positions": [[0.000, 0.000, 0.000], [0.500, 0.500, 0.000], [0.000, 0.500, 0.500], [0.500, 0.000, 0.500], [0.500, 0.500, 0.500]], "dos_at_fermi_per_ev_cell": 8.109, "e_form_mev_per_atom": 328, "space_group": "P4/mmm, No. 123"}